Entry from the Alexandria database: BaInP2Au after structural relaxation (PBE).

abc: 15.725 4.287 8.747
angles: 90.00 106.32 90.00
Space group C2/m (No. 12)
Inequivalent atoms, fractional coordinates:
Ba 0.214 0.000 0.231 x4
In 0.040 0.500 0.743 x4
P 0.122 0.500 0.407 x4
P 0.131 0.000 0.848 x4
Au 0.118 0.000 0.549 x4

As for the total DFT energy (no corrections): -4.259 eV/atom. Its magnetic moment is 0.000 μB per atom. Its energy of formation is -0.508 eV/atom.